No. 1
The following is a DFT calculation (PBE) of PaSnSb2O8 after structural relaxation.

a b c (Å): 6.041 6.041 7.141
angles (deg): 90.00 90.00 120.00
Fractional coordinates of all 12 atoms:
Pa  0.000  0.000  0.000
Sn  0.000  0.000  0.500
Sb  0.333  0.667  0.300
Sb  0.667  0.333  0.700
O  0.157  0.314  0.201
O  0.157  0.843  0.201
O  0.314  0.157  0.799
O  0.333  0.667  0.562
O  0.667  0.333  0.438
O  0.686  0.843  0.201
O  0.843  0.157  0.799
O  0.843  0.686  0.799

Output
N(E_F), states/eV/f.u.: 6.438
Symmetry: No. 164
E_tot, eV/atom: -6.77
Formation energy without anion corrections, eV per atom: -1.6519


No. 2
The following is a DFT calculation (PBE) of PaSnSbO6 after structural relaxation.

a b c (Å): 5.681 5.681 10.304
angles (deg): 90.00 90.00 120.00
Fractional coordinates of all 18 atoms:
Pa  0.333  0.667  0.250
Pa  0.667  0.333  0.750
Sn  0.000  0.000  0.000
Sn  0.000  0.000  0.500
Sb  0.333  0.667  0.750
Sb  0.667  0.333  0.250
O  0.024  0.379  0.643
O  0.024  0.645  0.857
O  0.355  0.379  0.857
O  0.355  0.976  0.643
O  0.379  0.024  0.143
O  0.379  0.355  0.357
O  0.621  0.645  0.643
O  0.621  0.976  0.857
O  0.645  0.024  0.357
O  0.645  0.621  0.143
O  0.976  0.355  0.143
O  0.976  0.621  0.357

Output
N(E_F), states/eV/f.u.: 0.000
Symmetry: No. 163
E_tot, eV/atom: -7.36
Formation energy without anion corrections, eV per atom: -2.1009


No. 3
The following is a DFT calculation (PBE) of Sr2PaSbO8 after structural relaxation.

a b c (Å): 4.616 7.003 5.519
angles (deg): 90.00 93.80 90.00
Fractional coordinates of all 12 atoms:
Sr  0.000  0.242  0.000
Sr  0.000  0.758  0.000
Pa  0.500  0.500  0.500
Sb  0.500  0.000  0.500
O  0.072  0.000  0.385
O  0.127  0.500  0.278
O  0.439  0.216  0.731
O  0.439  0.784  0.731
O  0.561  0.216  0.269
O  0.561  0.784  0.269
O  0.873  0.500  0.722
O  0.928  0.000  0.615

Output
N(E_F), states/eV/f.u.: 0.000
Symmetry: No. 10
E_tot, eV/atom: -7.08
Formation energy without anion corrections, eV per atom: -2.3563